First-principles (PBE) data for a relaxed NaSm2Hg5 crystal, as listed in the Alexandria database.

Results
Size of the total moment (μB per atom): 0.0327
ΔH_f (0 K) (eV/atom): -0.317
Total DFT energy (no corrections) (eV/atom): -1.850

Lattice parameters (Å, degrees): 5.284 5.284 14.764 90.00 90.00 90.00
Space group I4/mmm (No. 139)
Symmetry-distinct sites (fractional):
Na: 0.000 0.000 0.000 x2
Sm: 0.000 0.000 0.263 x4
Hg: 0.000 0.000 0.500 x2
Hg: 0.000 0.500 0.123 x8


First-principles (PBE) data for a relaxed Na2SmHg5 crystal, as listed in the Alexandria database.

Results
Size of the total moment (μB per atom): 0.0000
ΔH_f (0 K) (eV/atom): -0.283
Total DFT energy (no corrections) (eV/atom): -1.391

Lattice parameters (Å, degrees): 4.735 4.735 17.954 90.00 90.00 90.00
Space group I4/mmm (No. 139)
Symmetry-distinct sites (fractional):
Na: 0.000 0.000 0.250 x4
Sm: 0.000 0.000 0.000 x2
Hg: 0.000 0.000 0.500 x2
Hg: 0.000 0.500 0.127 x8


First-principles (PBE) data for a relaxed NaSm2Hg9 crystal, as listed in the Alexandria database.

Results
Size of the total moment (μB per atom): 0.0000
ΔH_f (0 K) (eV/atom): -0.298
Total DFT energy (no corrections) (eV/atom): -1.421

Lattice parameters (Å, degrees): 4.660 4.660 13.936 90.00 90.00 90.00
Space group P4/mmm (No. 123)
Symmetry-distinct sites (fractional):
Na: 0.000 0.000 0.000 x1
Sm: 0.000 0.000 0.328 x2
Hg: 0.000 0.500 0.165 x4
Hg: 0.000 0.500 0.500 x2
Hg: 0.500 0.500 0.000 x1
Hg: 0.500 0.500 0.337 x2


First-principles (PBE) data for a relaxed Na2SmHg crystal, as listed in the Alexandria database.

Results
Size of the total moment (μB per atom): 0.0000
ΔH_f (0 K) (eV/atom): 0.080
Total DFT energy (no corrections) (eV/atom): -1.835

Lattice parameters (Å, degrees): 3.4667 3.4667 35.7316 90.00 90.00 120.00
Space group R-3m (No. 166, hexagonal axes)
Symmetry-distinct sites (fractional):
Na: 0.0000 0.0000 0.0952 x6
Sm: 0.0000 0.0000 0.0000 x3
Hg: 0.0000 0.0000 0.5000 x3